Compound: TeSIN2
Source: Alexandria
Functional: PBEsol
Structure: optimized geometry

abc: 3.9590 3.9590 5.8249
angles: 90.00 90.00 90.00
With the nearest neighbours (Å) after each atom.
Space group P4/mmm (No. 123)
Unique sites:
Te: 0.0000 0.0000 0.0000 (multiplicity 1)  4 S 2.80
S: 0.5000 0.5000 0.0000 (multiplicity 1)  4 Te 2.80, 2 I 2.91
I: 0.5000 0.5000 0.5000 (multiplicity 1)  4 N 1.98
N: 0.0000 0.5000 0.5000 (multiplicity 2)  2 I 1.98

The value obtained for the raw formation energy is 1630 meV per atom. The total moment is 0.00 Bohr magnetons per cell. As for the calculated total energy: -0.2732 Ry/atom.

=====

Compound: K3DyCl6
Source: Alexandria
Functional: PBEsol
Structure: optimized geometry

abc: 10.9946 10.9946 10.9946
angles: 90.00 90.00 90.00
With the nearest neighbours (Å) after each atom.
Space group Fm-3m (No. 225)
Unique sites:
K: 0.0000 0.0000 0.0000 (multiplicity 4)  6 Cl 2.90
K: 0.2500 0.2500 0.2500 (multiplicity 8)  12 Cl 3.89
Dy: 0.0000 0.0000 0.5000 (multiplicity 4)  6 Cl 2.59
Cl: 0.0000 0.0000 0.2642 (multiplicity 24)  1 Dy 2.59

The value obtained for the raw formation energy is -2037 meV per atom. The total moment is 0.00 Bohr magnetons per cell. As for the calculated total energy: -0.2999 Ry/atom.

=====

Compound: Ac2ZnGe
Source: Alexandria
Functional: PBEsol
Structure: optimized geometry

abc: 7.6585 7.6585 7.6585
angles: 90.00 90.00 90.00
With the nearest neighbours (Å) after each atom.
Space group Fm-3m (No. 225)
Unique sites:
Ac: 0.2500 0.2500 0.2500 (multiplicity 8)  4 Ge 3.32, 4 Zn 3.32
Zn: 0.0000 0.0000 0.0000 (multiplicity 4)  8 Ac 3.32
Ge: 0.0000 0.0000 0.5000 (multiplicity 4)  8 Ac 3.32

The total moment is 0.00 Bohr magnetons per cell. The value obtained for the energy of formation from the pure elements is -417 meV/atom. As for the calculated total energy: -0.3160 Ry/atom.

=====

Compound: Al2PtPb
Source: Alexandria
Functional: PBEsol
Structure: optimized geometry

abc: 3.2420 3.3520 7.1121
angles: 90.00 90.00 90.00
With the nearest neighbours (Å) after each atom.
Space group Pmm2 (No. 25)
Unique sites:
Al: 0.0000 0.0000 0.0000 (multiplicity 1)  1 Pt 2.63, 4 Al 2.84
Al: 0.5000 0.5000 0.2282 (multiplicity 1)  4 Pt 2.54, 4 Al 2.84
Pt: 0.0000 0.0000 0.3702 (multiplicity 1)  5 Al 2.54-2.63
Pb: 0.5000 0.5000 0.6825 (multiplicity 1)  4 Pt 3.22, 5 Al 3.23-3.25, 4 Pb 3.24-3.35

The total moment is 0.00 Bohr magnetons per cell. The value obtained for the energy of formation from the pure elements is -223 meV/atom. As for the calculated total energy: -0.3681 Ry/atom.

=====

Compound: HfZn2Pt
Source: Alexandria
Functional: PBEsol
Structure: optimized geometry

abc: 6.2200 6.2200 6.2200
angles: 90.00 90.00 90.00
With the nearest neighbours (Å) after each atom.
Space group Fm-3m (No. 225)
Unique sites:
Hf: 0.0000 0.0000 0.0000 (multiplicity 4)  8 Zn 2.69
Zn: 0.2500 0.2500 0.2500 (multiplicity 8)  4 Hf 2.69, 4 Pt 2.69
Pt: 0.0000 0.0000 0.5000 (multiplicity 4)  8 Zn 2.69

The total moment is 0.00 Bohr magnetons per cell. The value obtained for the energy of formation from the pure elements is -492 meV/atom. As for the calculated total energy: -0.4153 Ry/atom.

=====

Compound: TlSb2Pb
Source: Alexandria
Functional: PBEsol
Structure: optimized geometry

abc: 3.3040 3.3040 10.3618
angles: 90.00 90.00 90.00
With the nearest neighbours (Å) after each atom.
Space group P4/mmm (No. 123)
Unique sites:
Tl: 0.0000 0.0000 0.0000 (multiplicity 1)  4 Tl 3.30, 8 Sb 3.53
Sb: 0.5000 0.5000 0.2551 (multiplicity 2)  4 Sb 3.30, 4 Pb 3.45, 4 Tl 3.53
Pb: 0.0000 0.0000 0.5000 (multiplicity 1)  4 Pb 3.30, 8 Sb 3.45

The value obtained for the raw formation energy is 67 meV per atom. The total moment is 0.00 Bohr magnetons per cell. As for the calculated total energy: -0.2844 Ry/atom.